Entry 1:
PmPaGeAs after structural relaxation, computed with PBE.

total magnetization = 0.0 μB per formula unit
ΔE_f = -0.640 eV per atom
D(E_F) = 5.2 states/eV/f.u.
VASP energy = -0.23953 hartree per atom
calculated volume = 23.0 Å³ per atom

abc: 5.0668 5.0668 5.0668
angles: 60.00 60.00 60.00
With the nearest neighbours (Å) after each atom.
Fractional positions:
Ge 0.2500 0.2500 0.2500  4 Pa 3.10, 4 Pm 3.10
Pa 0.0000 0.0000 0.0000  4 Ge 3.10, 4 As 3.10
Pm 0.5000 0.5000 0.5000  4 As 3.10, 4 Ge 3.10
As 0.7500 0.7500 0.7500  4 Pm 3.10, 4 Pa 3.10

=====

Entry 2:
Th6As2CSe3 after structural relaxation, computed with PBE.

total magnetization = 0.0 μB per formula unit
D(E_F) = 8.2 states/eV/f.u.
VASP energy = -0.27351 hartree per atom
raw formation energy = -1.318 eV/atom
calculated volume = 25.6 Å³ per atom

abc: 4.1036 8.4616 9.3236
angles: 103.09 102.71 90.00
With the nearest neighbours (Å) after each atom.
Fractional positions:
Th 0.3326 0.4197 0.6651  3 As 2.93-2.97, 3 Se 2.96-2.98
Th 0.0012 0.7871 0.0025  2 C 2.73, 1 As 2.95
Th 0.6471 0.0766 0.2943  1 C 2.60
Th 0.3529 0.9234 0.7057  1 C 2.60
Th 0.9988 0.2129 0.9975  2 C 2.73, 1 As 2.95
Th 0.6674 0.5803 0.3349  3 As 2.93-2.97, 3 Se 2.96-2.98
C 0.5000 0.0000 0.0000  6 Th 2.60-2.73
Se 0.5000 0.5000 0.0000  6 Th 2.96-3.18
Se 0.1738 0.8388 0.3477  6 Th 2.98-3.17
Se 0.8262 0.1612 0.6523  6 Th 2.98-3.17
As 0.1648 0.3314 0.3296  6 Th 2.93-2.97
As 0.8352 0.6686 0.6704  6 Th 2.93-2.97

=====

Entry 3:
AcPrDyY2 after structural relaxation, computed with PBE.

total magnetization = 0.0 μB per formula unit
ΔE_f = 0.385 eV per atom
D(E_F) = 8.5 states/eV/f.u.
VASP energy = -0.18001 hartree per atom
calculated volume = 37.6 Å³ per atom

abc: 6.4942 6.5757 9.3899
angles: 110.50 90.00 90.00
With the nearest neighbours (Å) after each atom.
Fractional positions:
Dy 0.2500 0.2295 0.4591  4 Pr 3.51-3.87, 4 Ac 3.52-3.80
Dy 0.7500 0.7705 0.5409  4 Pr 3.51-3.87, 4 Ac 3.52-3.80
Y 0.5000 0.2451 0.0000  4 Y 3.22-3.35, 2 Pr 3.55
Y 0.0000 0.2451 0.0000  4 Y 3.22-3.35, 2 Pr 3.55
Y 0.0000 0.7549 0.0000  4 Y 3.22-3.35, 2 Pr 3.55
Y 0.5000 0.7549 0.0000  4 Y 3.22-3.35, 2 Pr 3.55
Ac 0.2500 0.6588 0.3175  1 Pr 3.29, 2 Dy 3.52, 4 Y 3.64
Ac 0.7500 0.3412 0.6825  1 Pr 3.29, 2 Dy 3.52, 4 Y 3.64
Pr 0.2500 0.8460 0.6920  1 Ac 3.29, 2 Dy 3.51, 4 Y 3.55
Pr 0.7500 0.1540 0.3080  1 Ac 3.29, 2 Dy 3.51, 4 Y 3.55

=====

Entry 4:
Ac8PPt3I3 after structural relaxation, computed with PBE.

total magnetization = 0.0 μB per formula unit
D(E_F) = 12.3 states/eV/f.u.
VASP energy = -0.18929 hartree per atom
raw formation energy = -1.081 eV/atom
calculated volume = 38.9 Å³ per atom

abc: 9.0403 9.0403 9.7604
angles: 117.64 90.02 120.01
With the nearest neighbours (Å) after each atom.
Fractional positions:
P 0.0000 0.0000 0.5000  6 Ac 3.13
Pt 0.5000 0.5000 0.5000  6 Ac 3.03-3.04
Pt 0.5000 0.0000 0.5000  6 Ac 3.04
Pt 0.0000 0.5000 0.5000  6 Ac 3.03-3.04
Ac 0.7223 0.9589 0.6957  2 Pt 3.03-3.04, 1 P 3.13
Ac 0.7632 0.5262 0.3042  2 Pt 3.04, 1 P 3.13
Ac 0.7634 0.0411 0.3043  2 Pt 3.03-3.04, 1 P 3.13
Ac 0.2368 0.4738 0.6958  2 Pt 3.04, 1 P 3.13
Ac 0.2777 0.0411 0.3043  2 Pt 3.03-3.04, 1 P 3.13
Ac 0.2366 0.9589 0.6957  2 Pt 3.03-3.04, 1 P 3.13
Ac 0.7295 0.4592 0.6890  3 Pt 3.04
Ac 0.2705 0.5408 0.3110  3 Pt 3.04
I 0.0000 0.5000 0.0000  6 Ac 3.64-3.66
I 0.0000 0.0000 0.0000  6 Ac 3.65-3.66
I 0.5000 0.5000 0.0000  6 Ac 3.65-3.66